# 1
Entry from Alexandria via LeMat-Bulk: a relaxed Ta2WNCl crystal (GGA-PBE).

Properties
* SG: P4/mmm (123)
* raw formation energy: 11.9 eV/f.u.
* DOS at the Fermi energy: 4.772 states/eV per cell
* crystal system: tetragonal
* volume: 109.8 Å³/cell
* final energy: -6.98 eV/atom

Lattice parameters (Å, degrees): 4.9335 4.5103 4.9335 90.00 90.00 90.00
With the nearest neighbours (Å) after each atom.
Fractional positions:
N 0.5000 0.5000 0.5000  8 Ta 3.34, 4 Cl 3.49
Cl 0.0000 0.5000 0.0000  2 W 2.26
W 0.0000 0.0000 0.0000  2 Cl 2.26, 4 Ta 2.47
Ta 0.0000 0.0000 0.5000  2 W 2.47
Ta 0.5000 0.0000 0.0000  2 W 2.47

=====

# 2
Entry from Alexandria via LeMat-Bulk: a relaxed TiSn2TeOs crystal (GGA-PBE).

Properties
* SG: P4/mmm (123)
* raw formation energy: 8.9 eV/f.u.
* DOS at the Fermi energy: 8.577 states/eV per cell
* crystal system: tetragonal
* volume: 153.8 Å³/cell
* final energy: -4.28 eV/atom

Lattice parameters (Å, degrees): 5.5813 4.9377 5.5813 90.00 90.00 90.00
With the nearest neighbours (Å) after each atom.
Fractional positions:
Te 0.0000 0.0000 0.0000  2 Ti 2.47
Os 0.5000 0.5000 0.5000  8 Sn 3.73, 4 Ti 3.95
Sn 0.0000 0.0000 0.5000  2 Te 2.79
Sn 0.5000 0.0000 0.0000  2 Te 2.79
Ti 0.0000 0.5000 0.0000  2 Te 2.47

=====

# 3
Entry from Alexandria via LeMat-Bulk: a relaxed Ca2CdGa3Ag12 crystal (GGA-PBE).

Properties
* SG: R-3m (166)
* E_form: -0.0139 eV/atom
* DOS at the Fermi energy: 5.661 states/eV per cell
* crystal system: trigonal
* volume: 371.2 Å³/cell
* final energy: -2.69 eV/atom

Lattice parameters (Å, degrees): 7.2155 7.2155 7.2155 84.76 84.76 84.76
With the nearest neighbours (Å) after each atom.
Fractional positions:
Ca 0.7188 0.7188 0.7188  9 Ag 3.01-3.34, 3 Ga 3.21
Ca 0.2812 0.2812 0.2812  9 Ag 3.01-3.34, 3 Ga 3.21
Cd 0.0000 0.0000 0.0000  6 Ag 2.83
Ga 0.5000 0.0000 0.0000  2 Ag 2.64
Ga 0.0000 0.5000 0.0000  2 Ag 2.64
Ga 0.0000 0.0000 0.5000  2 Ag 2.64
Ag 0.4102 0.4102 0.8695  4 Ag 2.76-2.89, 2 Ga 3.05
Ag 0.8061 0.8061 0.3055  1 Ga 2.64, 5 Ag 2.76-2.90, 1 Cd 2.83
Ag 0.3055 0.8061 0.8061  1 Ga 2.64, 5 Ag 2.76-2.90, 1 Cd 2.83
Ag 0.8695 0.4102 0.4102  4 Ag 2.76-2.89, 2 Ga 3.05
Ag 0.8061 0.3055 0.8061  1 Ga 2.64, 5 Ag 2.76-2.90, 1 Cd 2.83
Ag 0.4102 0.8695 0.4102  4 Ag 2.76-2.89, 2 Ga 3.05
Ag 0.5898 0.5898 0.1305  4 Ag 2.76-2.89, 2 Ga 3.05
Ag 0.1939 0.1939 0.6945  1 Ga 2.64, 5 Ag 2.76-2.90, 1 Cd 2.83
Ag 0.6945 0.1939 0.1939  1 Ga 2.64, 5 Ag 2.76-2.90, 1 Cd 2.83
Ag 0.1305 0.5898 0.5898  4 Ag 2.76-2.89, 2 Ga 3.05
Ag 0.1939 0.6945 0.1939  1 Ga 2.64, 5 Ag 2.76-2.90, 1 Cd 2.83
Ag 0.5898 0.1305 0.5898  4 Ag 2.76-2.89, 2 Ga 3.05